VASP calculation (PBE) on a geometry-optimized KCuH structure.

Output
Energy above the most stable polymorph in this dataset ... 24.7 meV/atom
Raw total energy ... -2.76 eV/atom

Geometry as CIF:
```
data_KCuH
_chemical_formula_sum 'K4 Cu4 H4'
_cell_length_a 5.879
_cell_length_b 3.893
_cell_length_c 12.285
_cell_angle_alpha 90.00
_cell_angle_beta 116.65
_cell_angle_gamma 90.00
_symmetry_space_group_name_H-M 'P 1'
_symmetry_Int_Tables_number 1
loop_
_symmetry_equiv_pos_as_xyz
'x,y,z'
loop_
_atom_site_label
_atom_site_type_symbol
_atom_site_fract_x
_atom_site_fract_y
_atom_site_fract_z
_atom_site_occupancy
K1 K 0.730 0.000 0.195 1
K2 K 0.071 0.000 0.009 1
K3 K 0.730 0.500 0.695 1
K4 K 0.071 0.500 0.509 1
H1 H 0.745 0.500 0.907 1
H2 H 0.413 0.500 0.033 1
H3 H 0.413 0.000 0.533 1
H4 H 0.745 0.000 0.407 1
Cu1 Cu 0.301 0.500 0.296 1
Cu2 Cu 0.301 0.000 0.796 1
Cu3 Cu 0.503 0.000 0.430 1
Cu4 Cu 0.503 0.500 0.930 1
```